Crystalline HfOsW3 at its relaxed geometry. Source: Alexandria via LeMat-Bulk, functional PBE.

Computed properties:
formation energy from the elements: 2885 meV per atom
magnetization: 0.000 μB per formula unit
Fermi-level density of states: 5.52 states/eV/cell

a b c (Å): 4.6833 4.6833 4.6833
angles (deg): 90.00 90.00 90.00
Sites, in units of the cell vectors:
Hf 0.0000 0.0000 0.0000
Os 0.5000 0.5000 0.5000
W 0.0000 0.0000 0.5000
W 0.0000 0.5000 0.0000
W 0.5000 0.0000 0.0000

=====

Crystalline YCoPS2 at its relaxed geometry. Source: Alexandria via LeMat-Bulk, functional PBE.

Computed properties:
magnetization: 3.364 μB per formula unit
Fermi-level density of states: 6.93 states/eV/cell
uncorrected formation energy: 58.5 kJ/mol of atoms

a b c (Å): 5.1689 5.1689 5.2936
angles (deg): 90.00 90.00 90.00
Sites, in units of the cell vectors:
Y 0.0000 0.0000 0.0000
Co 0.5000 0.5000 0.5000
P 0.0000 0.0000 0.5000
S 0.0000 0.5000 0.0000
S 0.5000 0.0000 0.0000

=====

Crystalline BaTaAu2 at its relaxed geometry. Source: Alexandria via LeMat-Bulk, functional PBE.

Computed properties:
formation energy from the elements: 235 meV per atom
magnetization: 0.000 μB per formula unit
Fermi-level density of states: 3.14 states/eV/cell

a b c (Å): 3.5348 3.5348 7.7914
angles (deg): 90.00 90.00 90.00
Sites, in units of the cell vectors:
Ba 0.0000 0.0000 0.0000
Ta 0.5000 0.5000 0.3411
Au 0.0000 0.0000 0.5009
Au 0.5000 0.5000 0.7054

=====

Crystalline Sr3Ce2NdN6 at its relaxed geometry. Source: Alexandria via LeMat-Bulk, functional PBE.

Computed properties:
magnetization: 1.008 μB per formula unit
Fermi-level density of states: 16.25 states/eV/cell
uncorrected formation energy: -101.7 kJ/mol of atoms

a b c (Å): 6.3466 6.3466 6.3997
angles (deg): 99.52 99.52 120.00
Sites, in units of the cell vectors:
Sr 0.0000 0.0000 0.0000
Sr 0.3331 0.6669 0.0000
Sr 0.6669 0.3331 0.0000
Ce 0.1669 0.8331 0.5000
Ce 0.8331 0.1669 0.5000
Nd 0.5000 0.5000 0.5000
N 0.0830 0.4295 0.2888
N 0.2245 0.2245 0.7123
N 0.4295 0.0830 0.2888
N 0.5705 0.9170 0.7112
N 0.7755 0.7755 0.2877
N 0.9170 0.5705 0.7112

=====

Question: Which value of magnetization does entry 3 give?
Answer: 0.000 μB per formula unit

=====

Repeat the second record exactly.
Crystalline YCoPS2 at its relaxed geometry. Source: Alexandria via LeMat-Bulk, functional PBE.

Computed properties:
magnetization: 3.364 μB per formula unit
Fermi-level density of states: 6.93 states/eV/cell
uncorrected formation energy: 58.5 kJ/mol of atoms

a b c (Å): 5.1689 5.1689 5.2936
angles (deg): 90.00 90.00 90.00
Sites, in units of the cell vectors:
Y 0.0000 0.0000 0.0000
Co 0.5000 0.5000 0.5000
P 0.0000 0.0000 0.5000
S 0.0000 0.5000 0.0000
S 0.5000 0.0000 0.0000

=====

Question: Which formula does entry 2 have?
Answer: YCoPS2